Here is an optimized crystal structure of ZrNb4Re5 from Alexandria. Energies are from PBE-GGA.

CIF file:
```
data_ZrNb4Re5
_chemical_formula_sum 'Zr1 Nb4 Re5'
_cell_length_a 3.221
_cell_length_b 3.221
_cell_length_c 16.185
_cell_angle_alpha 90.00
_cell_angle_beta 90.00
_cell_angle_gamma 90.00
_space_group_name_H-M_alt 'P 4/m m m'
_space_group_IT_number 123
_space_group_name_Hall '-P 4 2'
loop_
_atom_site_label
_atom_site_type_symbol
_atom_site_fract_x
_atom_site_fract_y
_atom_site_fract_z
Zr1 Zr 0.000 0.000 0.000
Nb1 Nb 0.000 0.000 0.202
Nb2 Nb 0.000 0.000 0.401
Re1 Re 0.500 0.500 0.107
Re2 Re 0.500 0.500 0.303
Re3 Re 0.500 0.500 0.500
```

Results
- Energy relative to the elements: -0.275 eV/atom
- Calculated volume: 167.9 Å³ per cell